A plane-wave DFT calculation with PBE was carried out for Pu2Cl2F after structural relaxation.

Computed properties:
Density   8.5 Mg/m³
ΔE_f (raw)   -1.8247 eV per atom
Size of the total moment   0.29 μB/f.u.
DFT total energy   -8.670 eV/atom

a = 10.4354 Å, b = 6.8230 Å, c = 6.4101 Å
α = 90.00°, β = 97.94°, γ = 90.00°
Last column: nearest neighbours and their distance in Å.
Space group P2_1/c (No. 14)
Unique sites:
Pu: 0.0084 0.1342 0.2724 [4 per cell]  3 F 2.51-2.65
Pu: 0.3738 0.5808 0.2624 [4 per cell]  1 F 2.58, 5 Cl 2.84-2.87
Cl: 0.1999 0.6189 0.5893 [4 per cell]  5 Pu 2.86-3.00
Cl: 0.4293 0.2177 0.4715 [4 per cell]  4 Pu 2.84-2.87
F: 0.1600 0.0991 0.6335 [4 per cell]  4 Pu 2.51-2.65

---

A plane-wave DFT calculation with PBE was carried out for La2FeSn after structural relaxation.

Computed properties:
Formation enthalpy at 0 K   -0.031 eV/atom
Density   7.2 Mg/m³
Size of the total moment   0.30 μB/f.u.
DFT total energy   -5.611 eV/atom

a = 8.2226 Å, b = 8.2226 Å, c = 6.1409 Å
α = 90.00°, β = 90.00°, γ = 90.00°
Last column: nearest neighbours and their distance in Å.
Space group I-42d (No. 122)
Unique sites:
La: 0.1761 0.2500 0.1250 [8 per cell]  2 Fe 2.63
Fe: 0.0000 0.0000 0.0000 [4 per cell]  4 La 2.63
Sn: 0.0000 0.0000 0.5000 [4 per cell]  2 Fe 3.07, 4 La 3.41

---

A plane-wave DFT calculation with PBE was carried out for La4MgHg5 after structural relaxation.

Computed properties:
Formation enthalpy at 0 K   -0.450 eV/atom
Density   9.3 Mg/m³
Size of the total moment   0.22 μB/f.u.
DFT total energy   -2.732 eV/atom

a = 3.8175 Å, b = 3.8175 Å, c = 19.4030 Å
α = 90.00°, β = 90.00°, γ = 90.00°
Last column: nearest neighbours and their distance in Å.
Space group P4/mmm (No. 123)
Unique sites:
La: 0.0000 0.0000 0.1043 [2 per cell]  8 Hg 3.35-3.37
La: 0.0000 0.0000 0.3118 [2 per cell]  8 Hg 3.37-3.38, 1 Mg 3.65
Mg: 0.0000 0.0000 0.5000 [1 per cell]  8 Hg 3.16
Hg: 0.5000 0.5000 0.0000 [1 per cell]  8 La 3.37
Hg: 0.5000 0.5000 0.2068 [2 per cell]  8 La 3.35-3.38
Hg: 0.5000 0.5000 0.4157 [2 per cell]  4 Mg 3.16, 1 Hg 3.27, 4 La 3.37

---

A plane-wave DFT calculation with PBE was carried out for Ca3PH3 after structural relaxation.

Computed properties:
Density   2.1 Mg/m³
Size of the total moment   0.00 μB/f.u.
DFT total energy   -3.793 eV/atom

a = 12.9539 Å, b = 3.7531 Å, c = 11.5455 Å
α = 90.00°, β = 119.56°, γ = 90.00°
Last column: nearest neighbours and their distance in Å.
Space group C2/m (No. 12)
Unique sites:
Ca: 0.1027 0.0000 0.4535 [4 per cell]  3 H 2.32-2.34
Ca: 0.1250 0.0000 0.8750 [4 per cell]  4 H 2.22-2.40
Ca: 0.1808 0.5000 0.2251 [4 per cell]  4 H 2.19-2.33
P: 0.1218 0.5000 0.6851 [4 per cell]  8 Ca 2.87-3.17
H: 0.0697 0.0000 0.2038 [4 per cell]  3 Ca 2.22-2.30
H: 0.1617 0.5000 0.0137 [4 per cell]  4 Ca 2.33-2.40
H: 0.1897 0.5000 0.4191 [4 per cell]  4 Ca 2.19-2.34

---

A plane-wave DFT calculation with PBE was carried out for SrCuHg after structural relaxation.

Computed properties:
Formation enthalpy at 0 K   -0.136 eV/atom
Density   7.0 Mg/m³
Size of the total moment   0.00 μB/f.u.
DFT total energy   -2.162 eV/atom

a = 6.9453 Å, b = 6.9453 Å, c = 6.9453 Å
α = 90.00°, β = 90.00°, γ = 90.00°
Last column: nearest neighbours and their distance in Å.
Space group F-43m (No. 216)
Unique sites:
Sr: 0.0000 0.0000 0.0000 [4 per cell]  4 Cu 3.01
Cu: 0.2500 0.2500 0.7500 [4 per cell]  4 Hg 3.01, 4 Sr 3.01
Hg: 0.0000 0.0000 0.5000 [4 per cell]  4 Cu 3.01

---

A plane-wave DFT calculation with PBE was carried out for ZnNiW after structural relaxation.

Computed properties:
Formation enthalpy at 0 K   0.868 eV/atom
Density   10.4 Mg/m³
Size of the total moment   0.00 μB/f.u.
DFT total energy   -5.801 eV/atom
Excess energy over the best structure of this formula in the dataset   0.844 eV per atom

a = 5.8160 Å, b = 5.8160 Å, c = 5.8160 Å
α = 90.00°, β = 90.00°, γ = 90.00°
Last column: nearest neighbours and their distance in Å.
Space group F-43m (No. 216)
Unique sites:
Zn: 0.0000 0.0000 0.0000 [4 per cell]  4 W 2.52
Ni: 0.0000 0.0000 0.5000 [4 per cell]  4 W 2.52
W: 0.2500 0.2500 0.2500 [4 per cell]  4 Zn 2.52, 4 Ni 2.52

---

> Among the records above, which one has the lowest density?

Ca3PH3

---

> Look up the density of the fifth one.

7.0 Mg/m³

---

Please write out number 5 again, unchanged.
A plane-wave DFT calculation with PBE was carried out for SrCuHg after structural relaxation.

Computed properties:
Formation enthalpy at 0 K   -0.136 eV/atom
Density   7.0 Mg/m³
Size of the total moment   0.00 μB/f.u.
DFT total energy   -2.162 eV/atom

a = 6.9453 Å, b = 6.9453 Å, c = 6.9453 Å
α = 90.00°, β = 90.00°, γ = 90.00°
Last column: nearest neighbours and their distance in Å.
Space group F-43m (No. 216)
Unique sites:
Sr: 0.0000 0.0000 0.0000 [4 per cell]  4 Cu 3.01
Cu: 0.2500 0.2500 0.7500 [4 per cell]  4 Hg 3.01, 4 Sr 3.01
Hg: 0.0000 0.0000 0.5000 [4 per cell]  4 Cu 3.01